No. 1
A plane-wave DFT calculation with PBE was carried out for a geometry-optimized TbSm2Co2 structure.

Computed properties:
D(E_F): 3.5 states/eV/f.u.
Energy above the most stable polymorph in this dataset: 5 meV per atom

a b c (Å): 7.2820 7.2820 8.5421
angles (deg): 90.00 90.00 90.00
Fractional coordinates of all 20 atoms:
Tb1 0.5000 0.5000 0.2499
Tb2 0.0000 0.0000 0.7499
Tb3 0.5000 0.5000 0.7501
Tb4 0.0000 0.0000 0.2501
Sm1 0.6739 0.8260 0.5000
Sm2 0.3261 0.1740 0.5000
Sm3 0.8261 0.3260 0.0000
Sm4 0.1739 0.6740 0.0000
Sm5 0.8260 0.3261 0.5000
Sm6 0.1740 0.6739 0.5000
Sm7 0.3260 0.1739 0.0000
Sm8 0.6740 0.8261 0.0000
Co1 0.3908 0.8908 0.2500
Co2 0.6092 0.1092 0.2500
Co3 0.1092 0.3908 0.7500
Co4 0.8908 0.6092 0.7500
Co5 0.8908 0.6092 0.2500
Co6 0.1092 0.3908 0.2500
Co7 0.3908 0.8908 0.7500
Co8 0.6092 0.1092 0.7500

No. 2
A plane-wave DFT calculation with PBE was carried out for a geometry-optimized CrCu2 structure.

Computed properties:
Total DFT energy (no corrections): -0.1786 Ha/atom
D(E_F): 2.3 states/eV/f.u.

a b c (Å): 5.8378 5.8378 5.8378
angles (deg): 90.00 90.00 90.00
Site moments in Bohr magnetons follow the coordinates.
Fractional coordinates of all 12 atoms:
Cr1 0.0000 0.0000 0.0000  3.42
Cr2 0.0000 0.5000 0.5000  3.42
Cr3 0.5000 0.0000 0.5000  3.42
Cr4 0.5000 0.5000 0.0000  3.42
Cu1 0.1174 0.6174 0.8826  0.10
Cu2 0.1174 0.8826 0.3826  0.10
Cu3 0.3826 0.1174 0.8826  0.10
Cu4 0.3826 0.3826 0.3826  0.10
Cu5 0.6174 0.6174 0.6174  0.10
Cu6 0.6174 0.8826 0.1174  0.10
Cu7 0.8826 0.1174 0.6174  0.10
Cu8 0.8826 0.3826 0.1174  0.10

No. 3
A plane-wave DFT calculation with PBE was carried out for a geometry-optimized V3InRu structure.

Computed properties:
D(E_F): 6.2 states/eV/f.u.
Energy above the most stable polymorph in this dataset: 0 meV per atom

a b c (Å): 4.5682 4.5682 4.5682
angles (deg): 90.00 90.00 90.00
Site moments in Bohr magnetons follow the coordinates.
Fractional coordinates of all 5 atoms:
Ru1 0.0000 0.0000 0.0000  -0.02
In1 0.5000 0.5000 0.5000  -0.01
V1 0.0000 0.5000 0.0000  0.18
V2 0.0000 0.0000 0.5000  0.18
V3 0.5000 0.0000 0.0000  0.18

No. 4
A plane-wave DFT calculation with PBE was carried out for a geometry-optimized Ag2Pt structure.

Computed properties:
D(E_F): 1.5 states/eV/f.u.
Energy above the most stable polymorph in this dataset: 148 meV per atom

a b c (Å): 5.3086 5.3086 5.3086
angles (deg): 104.23 104.23 120.55
Fractional coordinates of all 6 atoms:
Ag1 0.1566 0.3434 0.5000
Ag2 0.3434 0.8434 0.1868
Ag3 0.6566 0.1566 0.8132
Ag4 0.8434 0.6566 0.5000
Pt1 0.7500 0.7500 0.0000
Pt2 0.2500 0.2500 0.0000

No. 5
A plane-wave DFT calculation with PBE was carried out for a geometry-optimized RbVSb structure.

Computed properties:
Formation energy from raw total energies: -0.06 eV/atom
D(E_F): 3.0 states/eV/f.u.
Energy above the most stable polymorph in this dataset: 5 meV per atom

a b c (Å): 4.2487 4.2487 13.2635
angles (deg): 82.14 81.82 60.02
Fractional coordinates of all 6 atoms:
Sb1 0.4627 0.4669 0.6219
Sb2 0.5373 0.5331 0.3781
Rb1 0.7341 0.7457 0.8242
Rb2 0.2659 0.2543 0.1758
V1 0.8338 0.8337 0.4985
V2 0.1662 0.1663 0.5015

No. 6
A plane-wave DFT calculation with PBE was carried out for a geometry-optimized PrSmDyEr2 structure.

Computed properties:
Total DFT energy (no corrections): -0.1569 Ha/atom
D(E_F): 7.8 states/eV/f.u.

a b c (Å): 7.1794 8.4109 7.1381
angles (deg): 126.10 90.00 90.00
Fractional coordinates of all 10 atoms:
Pr1 0.7500 0.7299 0.4598
Pr2 0.2500 0.2701 0.5402
Sm1 0.2500 0.9988 0.9977
Sm2 0.7500 0.0012 0.0023
Dy1 0.2500 0.7204 0.4407
Dy2 0.7500 0.2796 0.5593
Er1 0.5000 0.3127 0.0000
Er2 0.0000 0.6873 0.0000
Er3 0.5000 0.6873 0.0000
Er4 0.0000 0.3127 0.0000

No. 7
A plane-wave DFT calculation with PBE was carried out for a geometry-optimized Te2IrF structure.

Computed properties:
Formation energy from raw total energies: -0.07 eV/atom
D(E_F): 3.1 states/eV/f.u.
Energy above the most stable polymorph in this dataset: 692 meV per atom

a b c (Å): 9.6363 9.6363 9.6363
angles (deg): 18.34 18.34 18.34
Fractional coordinates of all 4 atoms:
Ir1 0.0000 0.0000 0.0000
Te1 0.9090 0.9090 0.9090
Te2 0.0910 0.0910 0.0910
F1 0.5000 0.5000 0.5000

No. 8
A plane-wave DFT calculation with PBE was carried out for a geometry-optimized AlTcNiRu structure.

Computed properties:
Total DFT energy (no corrections): -0.2731 Ha/atom
D(E_F): 6.3 states/eV/f.u.

a b c (Å): 4.2424 4.2424 4.2424
angles (deg): 60.00 60.00 60.00
Site moments in Bohr magnetons follow the coordinates.
Fractional coordinates of all 4 atoms:
Ru1 0.2500 0.2500 0.2500  0.05
Al1 0.5000 0.5000 0.5000  0.00
Tc1 0.0000 0.0000 0.0000  0.32
Ni1 0.7500 0.7500 0.7500  0.27

No. 9
A plane-wave DFT calculation with PBE was carried out for a geometry-optimized ZrNbGe2B structure.

Computed properties:
Total DFT energy (no corrections): -0.2425 Ha/atom
D(E_F): 3.0 states/eV/f.u.

a b c (Å): 4.4109 4.3022 4.4109
angles (deg): 90.00 90.00 90.00
Fractional coordinates of all 5 atoms:
Nb1 0.0000 0.5000 0.0000
B1 0.0000 0.0000 0.0000
Ge1 0.0000 0.0000 0.5000
Ge2 0.5000 0.0000 0.0000
Zr1 0.5000 0.5000 0.5000

No. 10
A plane-wave DFT calculation with PBE was carried out for a geometry-optimized Rb3Ho2MnTe6 structure.

Computed properties:
Formation energy from raw total energies: -1.04 eV/atom
D(E_F): 2.3 states/eV/f.u.

a b c (Å): 7.6232 7.6232 8.9283
angles (deg): 98.89 98.89 118.51
Site moments in Bohr magnetons follow the coordinates.
Fractional coordinates of all 12 atoms:
Rb1 0.1737 0.8263 0.5000  0.00
Rb2 0.8263 0.1737 0.5000  0.00
Rb3 0.5000 0.5000 0.5000  0.00
Ho1 0.3379 0.6621 0.0000  0.03
Ho2 0.6621 0.3379 0.0000  0.03
Mn1 0.0000 0.0000 0.0000  3.86
Te1 0.9412 0.6326 0.8162  -0.05
Te2 0.7388 0.7388 0.2059  0.03
Te3 0.0588 0.3674 0.1838  -0.05
Te4 0.6326 0.9412 0.8162  -0.05
Te5 0.2612 0.2612 0.7941  0.03
Te6 0.3674 0.0588 0.1838  -0.05

No. 11
A plane-wave DFT calculation with PBE was carried out for a geometry-optimized Sr2MgTl6Hg structure.

Computed properties:
Total DFT energy (no corrections): -0.0768 Ha/atom
D(E_F): 5.0 states/eV/f.u.

a b c (Å): 7.6855 7.9132 7.6553
angles (deg): 88.40 48.59 107.68
Fractional coordinates of all 10 atoms:
Sr1 0.2660 0.7578 0.5067
Sr2 0.7340 0.2422 0.4933
Mg1 0.5000 0.5000 0.0000
Tl1 0.3163 0.8080 0.0057
Tl2 0.7526 0.5742 0.1751
Tl3 0.1826 0.1918 0.4932
Tl4 0.6837 0.1920 0.9943
Tl5 0.2474 0.4258 0.8249
Tl6 0.8174 0.8082 0.5068
Hg1 0.0000 0.0000 0.0000

No. 12
A plane-wave DFT calculation with PBE was carried out for a geometry-optimized CeTiAsO2 structure.

Computed properties:
Formation energy from raw total energies: -2.50 eV/atom
D(E_F): 5.5 states/eV/f.u.

a b c (Å): 3.7646 6.0270 7.0409
angles (deg): 90.00 90.00 108.20
Site moments in Bohr magnetons follow the coordinates.
Fractional coordinates of all 10 atoms:
Ce1 0.7276 0.4552 0.7500  0.64
Ce2 0.2724 0.5448 0.2500  0.64
Ti1 0.0000 0.0000 0.0000  0.12
Ti2 0.0000 0.0000 0.5000  0.12
As1 0.4555 0.9110 0.7500  -0.02
As2 0.5445 0.0890 0.2500  -0.02
O1 0.1660 0.3321 0.9452  -0.01
O2 0.8340 0.6679 0.0548  -0.01
O3 0.1660 0.3321 0.5548  -0.01
O4 0.8340 0.6679 0.4452  -0.01

No. 13
A plane-wave DFT calculation with PBE was carried out for a geometry-optimized InTcRh2 structure.

Computed properties:
Total DFT energy (no corrections): -0.2544 Ha/atom
D(E_F): 4.6 states/eV/f.u.

a b c (Å): 9.0335 9.0335 9.0335
angles (deg): 18.23 18.23 18.23
Fractional coordinates of all 4 atoms:
In1 0.7500 0.7500 0.7500
Rh1 0.9963 0.9963 0.9963
Rh2 0.5037 0.5037 0.5037
Tc1 0.2500 0.2500 0.2500

No. 14
A plane-wave DFT calculation with PBE was carried out for a geometry-optimized SrCoNi2H8 structure.

Computed properties:
Total DFT energy (no corrections): -0.1501 Ha/atom
D(E_F): 3.4 states/eV/f.u.

a b c (Å): 4.4208 4.4208 6.2930
angles (deg): 69.44 69.44 60.00
Fractional coordinates of all 12 atoms:
Sr1 0.5000 0.5000 0.5000
Co1 0.0000 0.0000 0.0000
Ni1 0.3017 0.3017 0.0950
Ni2 0.6983 0.6983 0.9050
H1 0.2090 0.2090 0.3729
H2 0.6568 0.3006 0.1311
H3 0.7910 0.7910 0.6271
H4 0.9115 0.6568 0.1311
H5 0.0885 0.3432 0.8689
H6 0.3006 0.9115 0.1311
H7 0.6994 0.0885 0.8689
H8 0.3432 0.6994 0.8689

No. 15
A plane-wave DFT calculation with PBE was carried out for a geometry-optimized TmTlCu structure.

Computed properties:
Total DFT energy (no corrections): -0.1384 Ha/atom
D(E_F): 2.0 states/eV/f.u.

a b c (Å): 3.3528 3.3528 12.6531
angles (deg): 97.61 97.61 90.00
Fractional coordinates of all 6 atoms:
Cu1 0.2743 0.2743 0.5485
Cu2 0.7257 0.7257 0.4515
Tm1 0.1592 0.1592 0.3185
Tm2 0.8408 0.8408 0.6815
Tl1 0.5613 0.5613 0.1227
Tl2 0.4387 0.4387 0.8773

No. 16
A plane-wave DFT calculation with PBE was carried out for a geometry-optimized Rb2Tl6InPb structure.

Computed properties:
Total DFT energy (no corrections): -0.0817 Ha/atom
D(E_F): 6.3 states/eV/f.u.

a b c (Å): 8.1789 8.1789 14.7292
angles (deg): 73.88 73.88 60.00
Fractional coordinates of all 20 atoms:
Rb1 0.8950 0.8950 0.3149
Rb2 0.1050 0.1050 0.6851
Rb3 0.7193 0.7193 0.8420
Rb4 0.2807 0.2807 0.1580
Tl1 0.9260 0.3376 0.3988
Tl2 0.3376 0.9260 0.3988
Tl3 0.3376 0.3376 0.3988
Tl4 0.0740 0.6624 0.6012
Tl5 0.6624 0.0740 0.6012
Tl6 0.6624 0.6624 0.6012
Tl7 0.6289 0.2285 0.9142
Tl8 0.2285 0.6289 0.9142
Tl9 0.2285 0.2285 0.9142
Tl10 0.3711 0.7715 0.0858
Tl11 0.7715 0.3711 0.0858
Tl12 0.7715 0.7715 0.0858
In1 0.5763 0.5763 0.2711
In2 0.4237 0.4237 0.7289
Pb1 0.0000 0.0000 0.0000
Pb2 0.5000 0.5000 0.5000

No. 17
A plane-wave DFT calculation with PBE was carried out for a geometry-optimized TaB2Te structure.

Computed properties:
Formation energy from raw total energies: 0.84 eV/atom
D(E_F): 2.6 states/eV/f.u.

a b c (Å): 5.3091 5.3091 6.2709
angles (deg): 64.96 64.96 90.00
Fractional coordinates of all 8 atoms:
B1 0.6372 0.1250 0.2500
B2 0.1128 0.6250 0.2500
B3 0.3750 0.3628 0.7500
B4 0.8750 0.8872 0.7500
Te1 0.5000 0.5000 0.0000
Te2 0.2500 0.7500 0.5000
Ta1 0.0000 0.0000 0.0000
Ta2 0.7500 0.2500 0.5000

No. 18
A plane-wave DFT calculation with PBE was carried out for a geometry-optimized Ho4Mg5Co2 structure.

Computed properties:
Total DFT energy (no corrections): -0.1399 Ha/atom
D(E_F): 8.4 states/eV/f.u.

a b c (Å): 3.5535 7.8549 9.4735
angles (deg): 94.62 90.00 90.00
Fractional coordinates of all 11 atoms:
Ho1 0.5000 0.8026 0.5546
Ho2 0.5000 0.1694 0.8339
Ho3 0.5000 0.1974 0.4454
Ho4 0.5000 0.8306 0.1661
Mg1 0.0000 0.5463 0.3332
Mg2 0.0000 0.1733 0.1473
Mg3 0.0000 0.5000 0.0000
Mg4 0.0000 0.8267 0.8527
Mg5 0.0000 0.4537 0.6668
Co1 0.0000 0.0706 0.6363
Co2 0.0000 0.9294 0.3637

No. 19
A plane-wave DFT calculation with PBE was carried out for a geometry-optimized Rb3LiTh2Te6 structure.

Computed properties:
Formation energy from raw total energies: -1.20 eV/atom
D(E_F): 0.0 states/eV/f.u.

a b c (Å): 8.0296 8.0296 8.9264
angles (deg): 98.60 98.60 119.99
Fractional coordinates of all 12 atoms:
Rb1 0.1632 0.8368 0.5000
Rb2 0.8368 0.1632 0.5000
Rb3 0.5000 0.5000 0.5000
Li1 0.0000 0.0000 0.0000
Th1 0.3329 0.6671 0.0000
Th2 0.6671 0.3329 0.0000
Te1 0.9328 0.5918 0.7987
Te2 0.7262 0.7262 0.1998
Te3 0.0672 0.4082 0.2013
Te4 0.5918 0.9328 0.7987
Te5 0.2738 0.2738 0.8002
Te6 0.4082 0.0672 0.2013

No. 20
A plane-wave DFT calculation with PBE was carried out for a geometry-optimized BaSrH2O structure.

Computed properties:
Total DFT energy (no corrections): -0.1542 Ha/atom

a b c (Å): 4.4812 4.4812 4.8543
angles (deg): 90.00 90.00 90.00
Fractional coordinates of all 5 atoms:
Sr1 0.0000 0.0000 0.0000
Ba1 0.5000 0.5000 0.5000
O1 0.0000 0.0000 0.5000
H1 0.0000 0.5000 0.0000
H2 0.5000 0.0000 0.0000